Entry 1:
ZrCoS2Cl, optimized geometry, DFT PBE; crystal system = tetragonal; Fermi-level density of states = 1.2231 states/eV per atom; total magnetic moment = 0.5027 μB/atom; formation energy without anion corrections = -0.169 eV per atom; E = -5.3202 eV per atom
1.0
5.003 0.000 0.000
0.000 5.003 0.000
0.000 0.000 4.946
Zr Co S Cl
1 1 2 1
Cartesian
0.000 0.000 0.000
2.501 2.501 2.473
0.000 2.501 0.000
2.501 0.000 0.000
0.000 0.000 2.473

***

Entry 2:
TcNiCl2, optimized geometry, DFT PBE; crystal system = monoclinic; Fermi-level density of states = 0.8559 states/eV per atom; total magnetic moment = 0.8288 μB/atom; formation energy without anion corrections = 0.513 eV per atom; E = -4.4471 eV per atom
1.0
5.914 0.000 0.000
0.000 7.899 0.000
-1.222 0.000 2.872
Tc Ni Cl
2 2 4
Cartesian
0.000 0.000 0.000
2.957 3.949 0.000
0.000 3.949 0.000
2.957 0.000 0.000
1.478 1.975 0.000
1.478 5.924 0.000
4.435 1.975 0.000
4.435 5.924 0.000

***

Entry 3:
CaSbOF2, optimized geometry, DFT PBE; crystal system = tetragonal; Fermi-level density of states = 0.3717 states/eV per atom; total magnetic moment = 0.1070 μB/atom; formation energy without anion corrections = -1.727 eV per atom; E = -4.6924 eV per atom
1.0
4.677 0.000 0.000
0.000 4.677 0.000
0.000 0.000 4.288
Ca Sb O F
1 1 1 2
Cartesian
0.000 0.000 0.000
2.338 2.338 2.144
2.338 2.338 0.000
0.000 2.338 2.144
2.338 0.000 2.144

***

Entry 4:
AcNd8In2, optimized geometry, DFT PBE; crystal system = monoclinic; Fermi-level density of states = 1.2136 states/eV per atom; total magnetic moment = 0.0000 μB/atom; calculated formation energy = -0.63 eV/f.u.; E = -4.3961 eV per atom
1.0
4.545 -7.827 0.000
4.545 7.827 0.000
-2.657 0.000 5.360
Ac Nd In
1 8 2
Cartesian
0.000 0.000 0.000
0.197 1.835 3.366
4.545 4.291 0.000
0.197 -1.835 3.366
3.252 0.000 1.122
3.182 0.000 4.237
6.236 1.835 1.994
4.545 -4.291 0.000
6.236 -1.835 1.994
3.217 2.992 2.680
3.217 -2.992 2.680

***

Entry 5:
PSeBr2Cl, optimized geometry, DFT PBE; crystal system = tetragonal; Fermi-level density of states = 0.5363 states/eV per atom; total magnetic moment = 0.1949 μB/atom; formation energy without anion corrections = 1.089 eV per atom; E = -1.7281 eV per atom
1.0
5.205 0.000 0.000
0.000 5.205 0.000
0.000 0.000 5.351
P Se Br Cl
1 1 2 1
Cartesian
0.000 0.000 0.000
2.603 2.603 0.000
0.000 2.603 2.676
2.603 0.000 2.676
2.603 2.603 2.676

***

Entry 6:
Pm3Sm6Ho2Tm, optimized geometry, DFT PBE; crystal system = monoclinic; Fermi-level density of states = 1.3041 states/eV per atom; total magnetic moment = 0.0000 μB/atom; calculated formation energy = 0.20 eV/f.u.; E = -4.6665 eV per atom
1.0
3.125 -5.412 0.000
3.125 5.412 0.000
-2.081 0.000 11.741
Pm Sm Ho Tm
3 6 2 1
Cartesian
0.000 0.000 0.000
3.125 1.803 0.000
3.125 -1.803 0.000
1.041 1.802 2.982
0.006 0.000 8.760
1.041 -1.802 2.982
3.128 1.802 8.759
4.164 0.000 2.981
3.128 -1.802 8.759
2.085 3.608 5.871
2.085 -3.608 5.871
2.085 0.000 5.871

***

Entry 7:
CrPt2SeN, optimized geometry, DFT PBE; crystal system = tetragonal; Fermi-level density of states = 0.7531 states/eV per atom; total magnetic moment = 0.0000 μB/atom; formation energy without anion corrections = 0.699 eV per atom; E = -6.0036 eV per atom
1.0
4.849 0.000 0.000
0.000 4.849 0.000
0.000 0.000 3.485
Cr Pt Se N
1 2 1 1
Cartesian
0.000 0.000 0.000
0.000 2.425 0.000
2.425 0.000 0.000
2.425 2.425 1.742
0.000 0.000 1.742

***

Entry 8:
Pr3Zn4Au, optimized geometry, DFT PBE; crystal system = orthorhombic; Fermi-level density of states = 0.6659 states/eV per atom; total magnetic moment = 0.0000 μB/atom; calculated formation energy = -1.98 eV/f.u.; E = -3.0868 eV per atom
1.0
3.945 0.000 0.000
0.000 8.949 0.000
0.000 0.000 11.778
Pr Zn Au
6 8 2
Cartesian
0.000 0.000 0.000
0.000 4.475 2.401
0.000 4.475 9.377
1.973 0.000 3.488
1.973 0.000 8.290
1.973 4.475 5.889
0.000 2.314 4.519
0.000 2.314 7.259
0.000 6.636 4.519
0.000 6.636 7.259
1.973 2.161 1.370
1.973 2.161 10.408
1.973 6.788 1.370
1.973 6.788 10.408
0.000 0.000 5.889
1.973 4.475 0.000

***

Number 8 is which compound?
Pr3Zn4Au

***

Look up the total magnetic moment of the sixth one.
0.0000 μB/atom

***

The highest total magnetic moment belongs to which entry?
TcNiCl2